# 1
A plane-wave DFT calculation with PBE-GGA was carried out for a geometry-optimized Cs5AuCl2O structure.

Cell lengths 4.7001, 11.6013, 14.6819 Å; angles 90.00, 90.00, 101.69 degrees
Fractional positions:
Cs 0.8818 0.7636 0.5332
Cs 0.3574 0.7148 0.9518
Cs 0.6426 0.2852 0.4518
Cs 0.4912 0.9823 0.2622
Cs 0.5088 0.0177 0.7622
Cs 0.1182 0.2364 0.0332
Cs 0.2496 0.4992 0.6356
Cs 0.2810 0.5620 0.3729
Cs 0.7190 0.4380 0.8729
Cl 0.8796 0.7593 0.2732
Au 0.5058 0.0115 0.0157
Au 0.4942 0.9885 0.5157
Cs 0.7504 0.5008 0.1356
Cl 0.8618 0.7237 0.7721
O 0.7584 0.5169 0.5073
Cl 0.1204 0.2407 0.7732
O 0.2416 0.4831 0.0073
Cl 0.1382 0.2763 0.2721

Summary:
The volume comes out at 43.6 A^3/atom. The formation energy from raw total energies is -11.0 eV per formula unit. Its space group is No. 36. The total energy comes out at -0.1111 Ha/atom.


# 2
A plane-wave DFT calculation with PBE-GGA was carried out for a geometry-optimized Cs2AuCl6O structure.

Cell lengths 6.9151, 6.9151, 7.4866 Å; angles 62.49, 62.49, 90.00 degrees
Fractional positions:
Cs 0.2500 0.7500 0.5000
Au 0.0000 0.0000 0.0000
Cs 0.7500 0.2500 0.5000
Cl 0.2069 0.2069 0.5861
Cl 0.7319 0.7319 0.0000
O 0.5000 0.5000 0.0000
Cl 0.7319 0.2681 0.0000
Cl 0.2681 0.7319 0.0000
Cl 0.7931 0.7931 0.4139
Cl 0.2681 0.2681 0.0000

Summary:
The volume comes out at 27.1 A^3/atom. The formation energy from raw total energies is -7.3 eV per formula unit. For the density of states at the Fermi level, the calculation gives 2.639 states/eV/f.u. Its space group is No. 139. The total energy comes out at -0.1040 Ha/atom.


# 3
A plane-wave DFT calculation with PBE-GGA was carried out for a geometry-optimized Cs4AuClO structure.

Cell lengths 8.3949, 8.0218, 10.1888 Å; angles 90.00, 108.05, 90.00 degrees
Fractional positions:
O 0.7526 0.2500 0.6774
Cs 0.5532 0.2500 0.4212
Au 0.7466 0.7500 0.9456
Au 0.2534 0.2500 0.0544
Cs 0.0219 0.9928 0.2662
O 0.2474 0.7500 0.3226
Cl 0.2206 0.2500 0.5621
Cs 0.4206 0.7500 0.1424
Cs 0.9781 0.0072 0.7338
Cs 0.0219 0.5072 0.2662
Cs 0.4468 0.7500 0.5788
Cs 0.5794 0.2500 0.8576
Cs 0.9781 0.4928 0.7338
Cl 0.7794 0.7500 0.4379

Summary:
The volume comes out at 46.6 A^3/atom. The formation energy from raw total energies is -7.4 eV per formula unit. For the density of states at the Fermi level, the calculation gives 0.000 states/eV/f.u. Its space group is No. 11. The total energy comes out at -0.1100 Ha/atom.


# 4
A plane-wave DFT calculation with PBE-GGA was carried out for a geometry-optimized Cs6AuCl2O structure.

Cell lengths 8.5249, 8.5246, 9.2522 Å; angles 62.56, 62.56, 59.99 degrees
Fractional positions:
Cs 0.1400 0.3959 0.7776
Cs 0.2359 0.9763 0.2317
O 0.3287 0.3286 0.0140
Cs 0.9762 0.5562 0.2317
Au 0.8155 0.8153 0.5536
Cs 0.5560 0.2358 0.2319
Cs 0.6866 0.1401 0.7775
Cl 0.0050 0.0051 0.9850
Cs 0.3960 0.6866 0.7774
Cl 0.5217 0.5216 0.4348

Summary:
The volume comes out at 49.3 A^3/atom. The formation energy from raw total energies is -11.0 eV per formula unit. For the density of states at the Fermi level, the calculation gives 4.400 states/eV/f.u. Its space group is No. 146. The total energy comes out at -0.1032 Ha/atom.


# 5
A plane-wave DFT calculation with PBE-GGA was carried out for a geometry-optimized Cs2OsAuCl structure.

Cell lengths 6.1526, 4.9891, 6.1526 Å; angles 90.00, 90.00, 90.00 degrees
Fractional positions:
Cs 0.5000 0.0000 0.0000
Cs 0.0000 0.0000 0.5000
Os 0.0000 0.0000 0.0000
Au 0.0000 0.5000 0.0000
Cl 0.5000 0.5000 0.5000

Summary:
The volume comes out at 37.8 A^3/atom. The formation energy from raw total energies is 1.7 eV per formula unit. For the density of states at the Fermi level, the calculation gives 4.042 states/eV/f.u. Its space group is No. 123. The total energy comes out at -0.1203 Ha/atom.


# 6
A plane-wave DFT calculation with PBE-GGA was carried out for a geometry-optimized CsPAuCl2 structure.

Cell lengths 5.6938, 5.6938, 4.6564 Å; angles 90.00, 90.00, 90.00 degrees
Fractional positions:
Au 0.0000 0.0000 0.0000
Cl 0.5000 0.0000 0.0000
P 0.0000 0.0000 0.5000
Cl 0.0000 0.5000 0.0000
Cs 0.5000 0.5000 0.5000

Summary:
The volume comes out at 30.2 A^3/atom. The formation energy from raw total energies is -2.1 eV per formula unit. For the density of states at the Fermi level, the calculation gives 2.320 states/eV/f.u. Its space group is No. 123. The total energy comes out at -0.1126 Ha/atom.


# 7
A plane-wave DFT calculation with PBE-GGA was carried out for a geometry-optimized CsPbAuCl6 structure.

Cell lengths 7.2088, 7.2087, 7.5425 Å; angles 90.00, 90.00, 60.00 degrees
Fractional positions:
Pb 0.6666 0.6667 0.5000
Cl 0.0400 0.3515 0.3017
Cl 0.6084 0.3515 0.6983
Cl 0.0400 0.6085 0.6983
Cl 0.3515 0.6085 0.3017
Au 0.3333 0.3333 0.5000
Cs 0.0000 0.0000 0.0000
Cl 0.6084 0.0400 0.3017
Cl 0.3514 0.0401 0.6983

Summary:
The volume comes out at 37.7 A^3/atom. The formation energy from raw total energies is -7.9 eV per formula unit. For the density of states at the Fermi level, the calculation gives 0.190 states/eV/f.u. Its space group is No. 149. The total energy comes out at -0.1094 Ha/atom.


# 8
A plane-wave DFT calculation with PBE-GGA was carried out for a geometry-optimized CsPbAu2Cl structure.

Cell lengths 5.8364, 8.5548, 5.8364 Å; angles 90.00, 90.00, 90.00 degrees
Fractional positions:
Cl 0.5000 0.5000 0.5000
Au 0.5000 0.0000 0.0000
Pb 0.0000 0.5000 0.0000
Au 0.0000 0.0000 0.5000
Cs 0.0000 0.0000 0.0000

Summary:
The volume comes out at 58.3 A^3/atom. The formation energy from raw total energies is 4.4 eV per formula unit. For the density of states at the Fermi level, the calculation gives 3.883 states/eV/f.u. Its space group is No. 123. The total energy comes out at -0.0627 Ha/atom.


# 9
A plane-wave DFT calculation with PBE-GGA was carried out for a geometry-optimized Cs2PbAu2Cl6 structure.

Cell lengths 7.7389, 8.1307, 8.1947 Å; angles 118.31, 90.00, 118.42 degrees
Fractional positions:
Cl 0.1941 0.8912 0.2007
Cl 0.6971 0.8912 0.2007
Cl 0.2624 0.5248 0.3404
Cs 0.2661 0.5322 0.7880
Cl 0.8059 0.1088 0.7993
Cs 0.7339 0.4678 0.2120
Cl 0.3029 0.1088 0.7993
Pb 0.5000 0.0000 0.5000
Cl 0.7376 0.4752 0.6596
Au 0.9341 0.8682 0.7848
Au 0.0659 0.1318 0.2152

Summary:
The volume comes out at 34.7 A^3/atom. The formation energy from raw total energies is -11.6 eV per formula unit. Its space group is No. 12. The total energy comes out at -0.1159 Ha/atom.


# 10
A plane-wave DFT calculation with PBE-GGA was carried out for a geometry-optimized CsPdAuCl6 structure.

Cell lengths 6.6989, 10.0148, 5.4504 Å; angles 77.50, 111.95, 101.86 degrees
Fractional positions:
Cs 0.9697 0.9764 0.9972
Au 0.3631 0.3400 0.5287
Cl 0.4546 0.1329 0.7939
Cl 0.2834 0.5584 0.2758
Cl 0.0023 0.2458 0.3895
Pd 0.6442 0.6671 0.4554
Cl 0.5501 0.8848 0.2999
Cl 0.7285 0.4415 0.6427
Cl 0.0037 0.7530 0.6168

Summary:
The volume comes out at 36.4 A^3/atom. The formation energy from raw total energies is -6.7 eV per formula unit. Its space group is No. 1. The total energy comes out at -0.1108 Ha/atom.


# 11
A plane-wave DFT calculation with PBE-GGA was carried out for a geometry-optimized CsPuAu2Cl8 structure.

Cell lengths 6.5904, 7.3553, 10.0641 Å; angles 72.76, 90.31, 108.20 degrees
Fractional positions:
Au 0.4022 0.4844 0.7452
Pu 0.0000 0.0000 0.0000
Cs 0.0000 0.0000 0.5000
Cl 0.9080 0.2079 0.1336
Cl 0.4266 0.7297 0.5405
Cl 0.5952 0.7539 0.0469
Cl 0.1201 0.8070 0.2199
Au 0.5978 0.5156 0.2548
Cl 0.0920 0.7921 0.8664
Cl 0.5734 0.2703 0.4595
Cl 0.4048 0.2461 0.9531
Cl 0.8799 0.1930 0.7801

Summary:
The volume comes out at 36.7 A^3/atom. The formation energy from raw total energies is -13.3 eV per formula unit. For the density of states at the Fermi level, the calculation gives 13.173 states/eV/f.u. Its space group is No. 2. The total energy comes out at -0.1524 Ha/atom.


# 12
A plane-wave DFT calculation with PBE-GGA was carried out for a geometry-optimized Cs2RbAu2Cl6 structure.

Cell lengths 7.3438, 8.0117, 9.1168 Å; angles 114.07, 90.00, 117.28 degrees
Fractional positions:
Au 0.0575 0.1151 0.2544
Cl 0.6825 0.8486 0.1732
Cl 0.8340 0.1514 0.8268
Cl 0.2426 0.4853 0.3796
Cl 0.7574 0.5147 0.6204
Au 0.9425 0.8849 0.7456
Cl 0.1660 0.8486 0.1732
Rb 0.5000 0.0000 0.5000
Cs 0.2905 0.5809 0.8078
Cl 0.3175 0.1514 0.8268
Cs 0.7095 0.4191 0.1922

Summary:
The volume comes out at 38.5 A^3/atom. The formation energy from raw total energies is -12.4 eV per formula unit. For the density of states at the Fermi level, the calculation gives 6.542 states/eV/f.u. Its space group is No. 12. The total energy comes out at -0.1092 Ha/atom.